(P)
# NaInOF2 | Alexandria | PBE | optimized geometry
# Fermi-level density of states = 0.0 states/eV/f.u.
data_NaInOF2
_chemical_formula_sum 'Na1 In1 O1 F2'
_cell_length_a 4.374
_cell_length_b 4.374
_cell_length_c 4.021
_cell_angle_alpha 90.00
_cell_angle_beta 90.00
_cell_angle_gamma 90.00
_symmetry_space_group_name_H-M 'P 4/m m m'
_symmetry_Int_Tables_number 123
_symmetry_space_group_name_Hall '-P 4 2'
loop_
_atom_site_label
_atom_site_fract_x
_atom_site_fract_y
_atom_site_fract_z
Na1 0.000 0.000 0.000
In1 0.500 0.500 0.500
O1 0.500 0.500 0.000
F1 0.000 0.500 0.500


(Q)
# NaInOF2 | Alexandria | PBE | optimized geometry
# Fermi-level density of states = 2.3 states/eV/f.u.
data_NaInOF2
_chemical_formula_sum 'Na1 In1 O1 F2'
_cell_length_a 3.934
_cell_length_b 3.934
_cell_length_c 4.326
_cell_angle_alpha 90.00
_cell_angle_beta 90.00
_cell_angle_gamma 90.00
_symmetry_space_group_name_H-M 'P 4/m m m'
_symmetry_Int_Tables_number 123
_symmetry_space_group_name_Hall '-P 4 2'
loop_
_atom_site_label
_atom_site_fract_x
_atom_site_fract_y
_atom_site_fract_z
Na1 0.000 0.000 0.000
In1 0.500 0.500 0.500
O1 0.000 0.000 0.500
F1 0.000 0.500 0.000


Quick ranking, most stable first: (P), (Q).


(P)
# Nb2In2F | Alexandria | PBE | optimized geometry
# Fermi-level density of states = 2.8 states/eV/f.u.
data_Nb2In2F
_chemical_formula_sum 'Nb4 In4 F2'
_cell_length_a 7.992
_cell_length_b 7.992
_cell_length_c 3.432
_cell_angle_alpha 90.00
_cell_angle_beta 90.00
_cell_angle_gamma 90.00
_symmetry_space_group_name_H-M 'P 4/m b m'
_symmetry_Int_Tables_number 127
_symmetry_space_group_name_Hall '-P 4 2ab'
loop_
_atom_site_label
_atom_site_fract_x
_atom_site_fract_y
_atom_site_fract_z
Nb1 0.104 0.396 0.000
In1 0.194 0.694 0.500
F1 0.000 0.000 0.500


(Q)
# Nb2In2F | Alexandria | PBE | optimized geometry
# Fermi-level density of states = 4.5 states/eV/f.u.
data_Nb2In2F
_chemical_formula_sum 'Nb4 In4 F2'
_cell_length_a 3.704
_cell_length_b 3.704
_cell_length_c 15.658
_cell_angle_alpha 90.00
_cell_angle_beta 90.00
_cell_angle_gamma 90.00
_symmetry_space_group_name_H-M 'I 4/m m m'
_symmetry_Int_Tables_number 139
_symmetry_space_group_name_Hall '-I 4 2'
loop_
_atom_site_label
_atom_site_fract_x
_atom_site_fract_y
_atom_site_fract_z
Nb1 0.000 0.500 0.250
In1 0.000 0.000 0.087
F1 0.000 0.000 0.500


Quick ranking, most stable first: (Q), (P).


(P)
# Nb3InF | Alexandria | PBE | optimized geometry
# Fermi-level density of states = 7.7 states/eV/f.u.
data_Nb3InF
_chemical_formula_sum 'Nb3 In1 F1'
_cell_length_a 5.126
_cell_length_b 5.126
_cell_length_c 5.126
_cell_angle_alpha 90.00
_cell_angle_beta 90.00
_cell_angle_gamma 90.00
_symmetry_space_group_name_H-M 'P m -3 m'
_symmetry_Int_Tables_number 221
_symmetry_space_group_name_Hall '-P 4 2 3'
loop_
_atom_site_label
_atom_site_fract_x
_atom_site_fract_y
_atom_site_fract_z
Nb1 0.000 0.000 0.500
In1 0.000 0.000 0.000
F1 0.500 0.500 0.500


(Q)
# Nb3InF | Alexandria | PBE | optimized geometry
# Fermi-level density of states = 4.7 states/eV/f.u.
data_Nb3InF
_chemical_formula_sum 'Nb3 In1 F1'
_cell_length_a 4.391
_cell_length_b 4.391
_cell_length_c 4.391
_cell_angle_alpha 90.00
_cell_angle_beta 90.00
_cell_angle_gamma 90.00
_symmetry_space_group_name_H-M 'P m -3 m'
_symmetry_Int_Tables_number 221
_symmetry_space_group_name_Hall '-P 4 2 3'
loop_
_atom_site_label
_atom_site_fract_x
_atom_site_fract_y
_atom_site_fract_z
Nb1 0.000 0.000 0.500
In1 0.500 0.500 0.500
F1 0.000 0.000 0.000


Quick ranking, most stable first: (Q), (P).